Tb2ErCu3: relaxed, GGA-PBE.

Cell lengths 3.462, 3.462, 10.430 Å; angles 90.00, 90.00, 90.00 degrees
Positions (direct):
Tb1 0.500 0.500 0.832
Tb2 0.500 0.500 0.168
Er1 0.500 0.500 0.500
Cu1 0.000 0.000 0.000
Cu2 0.000 0.000 0.662
Cu3 0.000 0.000 0.338

Results
Space group = P4/mmm (123)
Total moment = 0.0 μB per formula unit
Calculated formation energy = -0.255 eV/atom
Electronic total energy = -4.61 eV per atom


TbErCu: relaxed, GGA-PBE.

Cell lengths 4.884, 8.666, 6.898 Å; angles 90.00, 90.00, 90.00 degrees
Positions (direct):
Tb1 0.250 0.826 0.485
Tb2 0.750 0.326 0.015
Tb3 0.250 0.674 0.985
Tb4 0.750 0.174 0.515
Er1 0.750 0.916 0.143
Er2 0.750 0.584 0.643
Er3 0.250 0.084 0.857
Er4 0.250 0.416 0.357
Cu1 0.750 0.600 0.243
Cu2 0.750 0.900 0.743
Cu3 0.250 0.100 0.257
Cu4 0.250 0.400 0.757

Results
Space group = Pnma (62)
Relative energy among the computed polymorphs = 0.000 eV per atom
Total moment = 0.0 μB per formula unit
Calculated formation energy = -0.167 eV/atom
Electronic total energy = -4.60 eV per atom


Tb4ErCu: relaxed, GGA-PBE.

Cell lengths 3.512, 3.512, 13.724 Å; angles 90.00, 90.00, 90.00 degrees
Positions (direct):
Tb1 0.500 0.500 0.818
Tb2 0.500 0.500 0.182
Tb3 0.000 0.000 0.626
Tb4 0.000 0.000 0.374
Er1 0.000 0.000 0.000
Cu1 0.500 0.500 0.500

Results
Space group = P4/mmm (123)
Total moment = 0.0 μB per formula unit
Calculated formation energy = -0.055 eV/atom
Electronic total energy = -4.58 eV per atom


TbEr2Cu6: relaxed, GGA-PBE.

Cell lengths 3.530, 7.312, 7.312 Å; angles 120.00, 90.00, 90.00 degrees
Positions (direct):
Tb1 0.000 0.000 0.000
Er1 0.000 0.333 0.667
Er2 0.000 0.667 0.333
Cu1 0.500 0.334 0.334
Cu2 0.500 0.666 0.666
Cu3 0.500 0.000 0.666
Cu4 0.500 0.666 0.000
Cu5 0.500 0.334 0.000
Cu6 0.500 0.000 0.334

Results
Space group = P6/mmm (191)
Total moment = 0.0 μB per formula unit
Calculated formation energy = -0.262 eV/atom
Electronic total energy = -4.52 eV per atom